# TmZr2ReC4 | the Alexandria database | PBE | optimized geometry
# * volume: 13.99 Å³ per atom
# * magnetization: 0.0000 μB/atom
# * formation energy: -0.308 eV per atom
# * density of states at the Fermi level: 0.34 states/eV per atom
data_TmZr2ReC4
_chemical_formula_sum 'Tm4 Zr8 Re4 C16'
_cell_length_a 3.308
_cell_length_b 11.604
_cell_length_c 11.663
_cell_angle_alpha 90.00
_cell_angle_beta 90.00
_cell_angle_gamma 90.00
_symmetry_space_group_name_H-M 'C m c m'
_symmetry_Int_Tables_number 63
_symmetry_space_group_name_Hall '-C 2c 2'
loop_
_atom_site_label
_atom_site_type_symbol
_atom_site_fract_x
_atom_site_fract_y
_atom_site_fract_z
_atom_site_occupancy
Tm1 Tm 0.000 0.107 0.250 1
Zr1 Zr 0.000 0.369 0.037 1
Re1 Re 0.000 0.156 0.750 1
C1 C 0.000 0.000 0.000 1
C2 C 0.000 0.262 0.622 1
C3 C 0.000 0.446 0.250 1